# CsLaMnTe3 PBE optimized geometry
data_CsLaMnTe3
_cell_length_a 17.232
_cell_length_b 5.228
_cell_length_c 9.932
_cell_angle_alpha 90.00
_cell_angle_beta 102.51
_cell_angle_gamma 90.00
_symmetry_space_group_name_H-M 'C 1 2/m 1'
_symmetry_Int_Tables_number 12
loop_
_symmetry_equiv_pos_as_xyz
'x,y,z'
'-x,-y,-z'
'-x,y,-z'
'x,-y,z'
'x+1/2,y+1/2,z'
'-x+1/2,-y+1/2,-z'
'-x+1/2,y+1/2,-z'
'x+1/2,-y+1/2,z'
loop_
_atom_site_label
_atom_site_fract_x
_atom_site_fract_y
_atom_site_fract_z
Cs1 0.140 0.000 0.055
La1 0.150 0.000 0.557
Mn1 0.002 0.500 0.401
Te1 0.001 0.000 0.308
Te2 0.146 0.500 0.755
Te3 0.153 0.500 0.356
# Energy relative to the elements, uncorrected: -0.883 eV per atom
# Calculated volume: 874 Å³/cell
# Raw total energy: -4.946 eV per atom